1.
Density functional theory data (PBE) for crystalline SrTaNi2S at its relaxed geometry.

Results
Raw formation energy ... 0.724 eV/atom
DOS at the Fermi energy ... 1.167 states/eV/atom

a = 4.281 Å, b = 4.281 Å, c = 5.244 Å
α = 90.00°, β = 90.00°, γ = 90.00°
Space group P4/mmm (No. 123)
Unique sites:
Sr 0.000 0.000 0.000 (multiplicity 1)
Ta 0.500 0.500 0.000 (multiplicity 1)
Ni 0.000 0.500 0.500 (multiplicity 2)
S 0.000 0.000 0.500 (multiplicity 1)

---

2.
Density functional theory data (PBE) for crystalline Al4CrFe5 at its relaxed geometry.

Results
DOS at the Fermi energy ... 1.108 states/eV/atom
ΔE_f ... -0.262 eV/atom

a = 2.840 Å, b = 2.840 Å, c = 14.411 Å
α = 90.00°, β = 90.00°, γ = 90.00°
Space group P4/mmm (No. 123)
Unique sites:
Al 0.000 0.000 0.102 (multiplicity 2)
Al 0.000 0.000 0.300 (multiplicity 2)
Cr 0.000 0.000 0.500 (multiplicity 1)
Fe 0.500 0.500 0.000 (multiplicity 1)
Fe 0.500 0.500 0.201 (multiplicity 2)
Fe 0.500 0.500 0.406 (multiplicity 2)

---

3.
Density functional theory data (PBE) for crystalline LuRu2W at its relaxed geometry.

Results
DOS at the Fermi energy ... 1.147 states/eV/atom
ΔE_f ... -0.129 eV/atom

a = 6.412 Å, b = 6.412 Å, c = 6.412 Å
α = 90.00°, β = 90.00°, γ = 90.00°
Space group Fm-3m (No. 225)
Unique sites:
Lu 0.000 0.000 0.000 (multiplicity 4)
Ru 0.250 0.250 0.250 (multiplicity 8)
W 0.000 0.000 0.500 (multiplicity 4)

---

4.
Density functional theory data (PBE) for crystalline SnGe3N at its relaxed geometry.

Results
Raw formation energy ... 0.563 eV/atom
DOS at the Fermi energy ... 0.700 states/eV/atom

a = 4.512 Å, b = 4.512 Å, c = 4.512 Å
α = 90.00°, β = 90.00°, γ = 90.00°
Space group Pm-3m (No. 221)
Unique sites:
Sn 0.000 0.000 0.000 (multiplicity 1)
Ge 0.000 0.500 0.500 (multiplicity 3)
N 0.500 0.500 0.500 (multiplicity 1)

---

5.
Density functional theory data (PBE) for crystalline DyUIr4 at its relaxed geometry.

Results
DOS at the Fermi energy ... 1.298 states/eV/atom
ΔE_f ... -0.652 eV/atom

a = 7.563 Å, b = 7.563 Å, c = 7.563 Å
α = 90.00°, β = 90.00°, γ = 90.00°
Space group F-43m (No. 216)
Unique sites:
Dy 0.000 0.000 0.000 (multiplicity 4)
U 0.250 0.250 0.250 (multiplicity 4)
Ir 0.125 0.125 0.625 (multiplicity 16)

---

6.
Density functional theory data (PBE) for crystalline TaCo2Hg at its relaxed geometry.

Results
DOS at the Fermi energy ... 0.850 states/eV/atom
ΔE_f ... 0.218 eV/atom

a = 4.236 Å, b = 4.236 Å, c = 3.242 Å
α = 90.00°, β = 90.00°, γ = 90.00°
Space group P4/mmm (No. 123)
Unique sites:
Ta 0.000 0.000 0.000 (multiplicity 1)
Co 0.000 0.500 0.500 (multiplicity 2)
Hg 0.500 0.500 0.000 (multiplicity 1)

---

7.
Density functional theory data (PBE) for crystalline Bi2Os2Pd at its relaxed geometry.

Results
DOS at the Fermi energy ... 0.793 states/eV/atom
ΔE_f ... 0.674 eV/atom

a = 6.958 Å, b = 6.958 Å, c = 4.203 Å
α = 90.00°, β = 90.00°, γ = 90.00°
Space group P4/mbm (No. 127)
Unique sites:
Bi 0.180 0.320 0.000 (multiplicity 4)
Os 0.124 0.624 0.500 (multiplicity 4)
Pd 0.000 0.000 0.500 (multiplicity 2)

---

8.
Density functional theory data (PBE) for crystalline Mg3W at its relaxed geometry.

Results
DOS at the Fermi energy ... 0.732 states/eV/atom
ΔE_f ... 0.438 eV/atom

a = 2.816 Å, b = 4.935 Å, c = 5.448 Å
α = 90.00°, β = 90.00°, γ = 90.00°
Space group Pmm2 (No. 25)
Unique sites:
Mg 0.000 0.000 0.000 (multiplicity 1)
Mg 0.000 0.500 0.319 (multiplicity 1)
Mg 0.500 0.000 0.540 (multiplicity 1)
W 0.500 0.500 0.820 (multiplicity 1)

---

9.
Density functional theory data (PBE) for crystalline Li2CuSi at its relaxed geometry.

Results
Raw formation energy ... -0.154 eV/atom
DOS at the Fermi energy ... 0.185 states/eV/atom

a = 8.379 Å, b = 2.746 Å, c = 4.726 Å
α = 90.00°, β = 99.95°, γ = 90.00°
Space group Cm (No. 8)
Unique sites:
Li 0.000 0.000 0.000 (multiplicity 2)
Li 0.234 0.000 0.758 (multiplicity 2)
Cu 0.249 0.500 0.296 (multiplicity 2)
Si 0.487 0.000 0.472 (multiplicity 2)

---

10.
Density functional theory data (PBE) for crystalline Dy7ErTm2 at its relaxed geometry.

Results
DOS at the Fermi energy ... 1.403 states/eV/atom
ΔE_f ... 0.020 eV/atom

a = 6.091 Å, b = 7.039 Å, c = 7.870 Å
α = 77.07°, β = 75.06°, γ = 73.30°
Space group P-1 (No. 2)
Unique sites:
Dy 0.000 0.000 0.000 (multiplicity 1)
Dy 0.200 0.800 0.600 (multiplicity 2)
Dy 0.400 0.100 0.200 (multiplicity 2)
Dy 0.400 0.600 0.200 (multiplicity 2)
Er 0.000 0.500 0.000 (multiplicity 1)
Tm 0.199 0.301 0.600 (multiplicity 2)

---

11.
Density functional theory data (PBE) for crystalline TePt2ClO at its relaxed geometry.

Results
Raw formation energy ... 0.429 eV/atom
DOS at the Fermi energy ... 1.026 states/eV/atom

a = 4.072 Å, b = 4.072 Å, c = 5.711 Å
α = 90.00°, β = 90.00°, γ = 90.00°
Space group P4/mmm (No. 123)
Unique sites:
Te 0.000 0.000 0.000 (multiplicity 1)
Pt 0.000 0.500 0.500 (multiplicity 2)
Cl 0.500 0.500 0.000 (multiplicity 1)
O 0.500 0.500 0.500 (multiplicity 1)

---

12.
Density functional theory data (PBE) for crystalline Nd2Ho8Tl at its relaxed geometry.

Results
DOS at the Fermi energy ... 1.399 states/eV/atom
ΔE_f ... -0.022 eV/atom

a = 19.443 Å, b = 5.554 Å, c = 6.455 Å
α = 90.00°, β = 95.25°, γ = 90.00°
Space group C2/m (No. 12)
Unique sites:
Nd 0.244 0.000 0.333 (multiplicity 4)
Ho 0.044 0.000 0.270 (multiplicity 4)
Ho 0.078 0.500 0.599 (multiplicity 4)
Ho 0.152 0.000 0.808 (multiplicity 4)
Ho 0.160 0.500 0.123 (multiplicity 4)
Tl 0.000 0.500 0.000 (multiplicity 2)

---

13.
Density functional theory data (PBE) for crystalline Pr3InS at its relaxed geometry.

Results
Raw formation energy ... -0.874 eV/atom
DOS at the Fermi energy ... 0.771 states/eV/atom

a = 5.438 Å, b = 5.438 Å, c = 5.438 Å
α = 90.00°, β = 90.00°, γ = 90.00°
Space group Pm-3m (No. 221)
Unique sites:
Pr 0.000 0.000 0.500 (multiplicity 3)
In 0.500 0.500 0.500 (multiplicity 1)
S 0.000 0.000 0.000 (multiplicity 1)

---

14.
Density functional theory data (PBE) for crystalline Ta2InTeC at its relaxed geometry.

Results
Raw formation energy ... 3.325 eV/atom
DOS at the Fermi energy ... 1.591 states/eV/atom

a = 5.153 Å, b = 5.153 Å, c = 5.348 Å
α = 90.00°, β = 90.00°, γ = 90.00°
Space group P4/mmm (No. 123)
Unique sites:
Ta 0.000 0.500 0.000 (multiplicity 2)
In 0.000 0.000 0.000 (multiplicity 1)
Te 0.000 0.000 0.500 (multiplicity 1)
C 0.500 0.500 0.500 (multiplicity 1)

---

15.
Density functional theory data (PBE) for crystalline TaTcHg2 at its relaxed geometry.

Results
DOS at the Fermi energy ... 0.737 states/eV/atom
ΔE_f ... 0.563 eV/atom

a = 5.640 Å, b = 8.943 Å, c = 2.914 Å
α = 90.00°, β = 90.00°, γ = 90.00°
Space group Cmmm (No. 65)
Unique sites:
Ta 0.000 0.000 0.000 (multiplicity 2)
Tc 0.000 0.500 0.000 (multiplicity 2)
Hg 0.250 0.250 0.500 (multiplicity 4)

---

16.
Density functional theory data (PBE) for crystalline CaLa2Pt at its relaxed geometry.

Results
DOS at the Fermi energy ... 0.965 states/eV/atom
ΔE_f ... -0.430 eV/atom

a = 8.973 Å, b = 8.973 Å, c = 6.615 Å
α = 90.00°, β = 90.00°, γ = 90.00°
Space group I-42d (No. 122)
Unique sites:
Ca 0.000 0.000 0.000 (multiplicity 4)
La 0.177 0.250 0.625 (multiplicity 8)
Pt 0.000 0.000 0.500 (multiplicity 4)

---

17.
Density functional theory data (PBE) for crystalline AlRh2Pb at its relaxed geometry.

Results
DOS at the Fermi energy ... 0.417 states/eV/atom
ΔE_f ... -0.287 eV/atom

a = 6.128 Å, b = 6.902 Å, c = 3.126 Å
α = 90.00°, β = 90.00°, γ = 90.00°
Space group Cmmm (No. 65)
Unique sites:
Al 0.000 0.000 0.000 (multiplicity 2)
Rh 0.250 0.250 0.500 (multiplicity 4)
Pb 0.000 0.500 0.000 (multiplicity 2)

---

18.
Density functional theory data (PBE) for crystalline K2CaBr2 at its relaxed geometry.

Results
Raw formation energy ... -1.137 eV/atom
DOS at the Fermi energy ... 0.000 states/eV/atom

a = 8.805 Å, b = 8.805 Å, c = 4.738 Å
α = 90.00°, β = 90.00°, γ = 90.00°
Space group P4/mbm (No. 127)
Unique sites:
K 0.152 0.348 0.000 (multiplicity 4)
Ca 0.000 0.000 0.500 (multiplicity 2)
Br 0.160 0.660 0.500 (multiplicity 4)

---

19.
Density functional theory data (PBE) for crystalline Ti5CuSn2 at its relaxed geometry.

Results
DOS at the Fermi energy ... 1.190 states/eV/atom
ΔE_f ... 0.201 eV/atom

a = 4.435 Å, b = 13.133 Å, c = 11.500 Å
α = 90.00°, β = 90.00°, γ = 90.00°
Space group Cmcm (No. 63)
Unique sites:
Ti 0.000 0.116 0.122 (multiplicity 8)
Ti 0.000 0.299 0.750 (multiplicity 4)
Ti 0.000 0.305 0.008 (multiplicity 8)
Cu 0.000 0.308 0.250 (multiplicity 4)
Sn 0.000 0.101 0.625 (multiplicity 8)

---

20.
Density functional theory data (PBE) for crystalline Pr3TmPd12 at its relaxed geometry.

Results
DOS at the Fermi energy ... 0.621 states/eV/atom
ΔE_f ... -0.782 eV/atom

a = 4.187 Å, b = 4.187 Å, c = 16.787 Å
α = 90.00°, β = 90.00°, γ = 90.00°
Space group P4/mmm (No. 123)
Unique sites:
Pr 0.000 0.000 0.000 (multiplicity 1)
Pr 0.000 0.000 0.255 (multiplicity 2)
Tm 0.000 0.000 0.500 (multiplicity 1)
Pd 0.000 0.500 0.127 (multiplicity 4)
Pd 0.000 0.500 0.382 (multiplicity 4)
Pd 0.500 0.500 0.000 (multiplicity 1)
Pd 0.500 0.500 0.254 (multiplicity 2)
Pd 0.500 0.500 0.500 (multiplicity 1)